The following is a SCAN calculation of a PBEsol-optimized structure of AgCO2, from the Alexandria database.

Unit cell a=4.813 b=4.813 c=6.825 alpha=90.00 beta=90.00 gamma=90.00
Space group I-42d (No. 122)
Inequivalent atoms, fractional coordinates:
Ag: 0.000 0.000 0.000
C: 0.000 0.000 0.500
O: 0.033 0.750 0.625

Output
- ΔE_f (raw) (eV/atom) = 0.482
- V (Å³ per atom) = 9.9
- crystal system = tetragonal

=====

The following is a SCAN calculation of a PBEsol-optimized structure of AlCd2TcS, from the Alexandria database.

Unit cell a=5.256 b=5.256 c=4.290 alpha=90.00 beta=90.00 gamma=90.00
Space group P4/mmm (No. 123)
Inequivalent atoms, fractional coordinates:
Al: 0.000 0.000 0.000
Cd: 0.000 0.500 0.500
Tc: 0.500 0.500 0.500
S: 0.500 0.500 0.000

Output
- ΔE_f (raw) (eV/atom) = 0.460
- V (Å³ per atom) = 23.7
- crystal system = tetragonal

=====

The following is a SCAN calculation of a PBEsol-optimized structure of Ag2AsPt, from the Alexandria database.

Unit cell a=3.264 b=3.264 c=6.250 alpha=90.00 beta=90.00 gamma=90.00
Space group P4mm (No. 99)
Inequivalent atoms, fractional coordinates:
Ag: 0.000 0.000 0.000
Ag: 0.500 0.500 0.249
As: 0.000 0.000 0.542
Pt: 0.500 0.500 0.727

Output
- V (Å³ per atom) = 16.6
- crystal system = tetragonal
- formation enthalpy at 0 K (eV/atom) = -0.044

=====

The following is a SCAN calculation of a PBEsol-optimized structure of InFeSb2, from the Alexandria database.

Unit cell a=6.005 b=7.958 c=3.811 alpha=90.00 beta=102.37 gamma=90.00
Space group C2/m (No. 12)
Inequivalent atoms, fractional coordinates:
In: 0.000 0.000 0.000
Fe: 0.000 0.500 0.000
Sb: 0.250 0.250 0.500

Output
- ΔE_f (raw) (eV/atom) = 0.433
- V (Å³ per atom) = 22.2
- crystal system = monoclinic

=====

Record order is preserved below.
Calculated total energy: -13.000; -22.194; -38.323; -31.076 eV per atom